[1]
DFT (GGA-PBEsol) results for an optimized crystal structure of NpF3.

abc: 4.0722 4.0722 7.1649
angles: 90.00 90.00 120.00
Closest atoms and distances in Å follow each position.
Positions (direct):
Np 0.3333 0.6667 0.2500  5 F 2.35-2.37
Np 0.6667 0.3333 0.7500  5 F 2.35-2.37
F 0.0000 0.0000 0.2500  3 Np 2.35
F 0.0000 0.0000 0.7500  3 Np 2.35
F 0.3333 0.6667 0.5802  4 Np 2.37-2.65, 7 F 2.43-2.65
F 0.3333 0.6667 0.9198  4 Np 2.37-2.65, 7 F 2.43-2.65
F 0.6667 0.3333 0.0802  4 Np 2.37-2.65, 7 F 2.43-2.65
F 0.6667 0.3333 0.4198  4 Np 2.37-2.65, 7 F 2.43-2.65

## Properties
- D(E_F) (states/eV/atom) = 2.868
- space-group type = No. 194



[2]
DFT (GGA-PBEsol) results for an optimized crystal structure of NpPO4F.

abc: 8.5826 6.9222 6.3084
angles: 90.00 90.00 90.00
Closest atoms and distances in Å follow each position.
Positions (direct):
Np 0.0524 0.2500 0.1481  4 O 2.21-2.26, 2 F 2.25-2.29
Np 0.4476 0.7500 0.6481  4 O 2.21-2.26, 2 F 2.25-2.29
Np 0.5524 0.2500 0.3519  4 O 2.21-2.26, 2 F 2.25-2.29
Np 0.9476 0.7500 0.8519  4 O 2.21-2.26, 2 F 2.25-2.29
P 0.1026 0.7500 0.3174  4 O 1.52-1.56
P 0.3974 0.2500 0.8174  4 O 1.52-1.56
P 0.6026 0.7500 0.1826  4 O 1.52-1.56
P 0.8974 0.2500 0.6826  4 O 1.52-1.56
O 0.0086 0.2500 0.4934  1 P 1.53
O 0.0675 0.5754 0.1674  1 P 1.56
O 0.0675 0.9246 0.1674  1 P 1.56
O 0.2279 0.2500 0.8871  1 P 1.52
O 0.2721 0.7500 0.3871  1 P 1.52
O 0.4325 0.0754 0.6674  1 P 1.56
O 0.4325 0.4246 0.6674  1 P 1.56
O 0.4914 0.7500 0.9934  1 P 1.53
O 0.5086 0.2500 0.0066  1 P 1.53
O 0.5675 0.5754 0.3326  1 P 1.56
O 0.5675 0.9246 0.3326  1 P 1.56
O 0.7279 0.2500 0.6129  1 P 1.52
O 0.7721 0.7500 0.1129  1 P 1.52
O 0.9325 0.0754 0.8326  1 P 1.56
O 0.9325 0.4246 0.8326  1 P 1.56
O 0.9914 0.7500 0.5065  1 P 1.53
F 0.2117 0.7500 0.8049  2 Np 2.25-2.29
F 0.2883 0.2500 0.3049  2 Np 2.25-2.29
F 0.7117 0.7500 0.6951  2 Np 2.25-2.29
F 0.7883 0.2500 0.1951  2 Np 2.25-2.29

## Properties
- D(E_F) (states/eV/atom) = 1.265
- space-group type = No. 62



[3]
DFT (GGA-PBEsol) results for an optimized crystal structure of OsO3F2.

abc: 5.5265 5.0126 12.2970
angles: 90.00 99.40 90.00
Closest atoms and distances in Å follow each position.
Positions (direct):
Os 0.1961 0.2137 0.3618  3 O 1.70-1.71, 1 F 1.90
Os 0.1961 0.2863 0.8618  3 O 1.70-1.71, 1 F 1.90
Os 0.8039 0.7137 0.1383  3 O 1.70-1.71, 1 F 1.90
Os 0.8039 0.7863 0.6382  3 O 1.70-1.71, 1 F 1.90
O 0.2517 0.0942 0.9775  1 Os 1.70
O 0.2517 0.4058 0.4775  1 Os 1.70
O 0.3358 0.5796 0.9049  1 Os 1.70
O 0.3358 0.9204 0.4049  1 Os 1.70
O 0.3922 0.1551 0.7820  1 Os 1.71
O 0.3922 0.3449 0.2820  1 Os 1.71
O 0.6078 0.6551 0.7180  1 Os 1.71
O 0.6078 0.8449 0.2180  1 Os 1.71
O 0.6642 0.0796 0.5951  1 Os 1.70
O 0.6642 0.4204 0.0951  1 Os 1.70
O 0.7483 0.5942 0.5225  1 Os 1.70
O 0.7483 0.9058 0.0225  1 Os 1.70
F 0.0423 0.0284 0.2116  2 Os 2.12-2.16
F 0.0423 0.4716 0.7116  2 Os 2.12-2.16
F 0.1218 0.6110 0.1140  1 Os 1.90
F 0.1218 0.8890 0.6140  1 Os 1.90
F 0.8782 0.1110 0.3860  1 Os 1.90
F 0.8782 0.3890 0.8860  1 Os 1.90
F 0.9577 0.5284 0.2884  2 Os 2.12-2.16
F 0.9577 0.9716 0.7884  2 Os 2.12-2.16

## Properties
- D(E_F) (states/eV/atom) = 0.000
- space-group type = No. 14



[4]
DFT (GGA-PBEsol) results for an optimized crystal structure of OsO2F3.

abc: 5.6005 5.1264 12.3311
angles: 90.00 101.00 90.00
Closest atoms and distances in Å follow each position.
Positions (direct):
Os 0.0000 0.0166 0.0000  1 O 1.67, 2 F 1.87
Os 0.0000 0.9834 0.5000  1 O 1.67, 2 F 1.87
Os 0.6304 0.4644 0.2883  3 O 1.70-1.71, 1 F 1.89
Os 0.6304 0.5356 0.7883  3 O 1.70-1.71, 1 F 1.89
O 0.2240 0.0968 0.4404  1 Os 1.67
O 0.2240 0.9032 0.9404  1 Os 1.67
O 0.4418 0.4049 0.8675  1 Os 1.71
O 0.4418 0.5951 0.3675  1 Os 1.71
O 0.5020 0.1678 0.2532  1 Os 1.70
O 0.5020 0.8322 0.7532  1 Os 1.70
O 0.5641 0.3637 0.6681  1 Os 1.70
O 0.5641 0.6363 0.1681  1 Os 1.70
F 0.0800 0.1381 0.6398  1 Os 1.87
F 0.0800 0.8619 0.1398  1 Os 1.87
F 0.1463 0.3253 0.0622  1 Os 1.88
F 0.1463 0.6747 0.5622  1 Os 1.88
F 0.7052 0.1243 0.0364  1 Os 1.87
F 0.7052 0.8757 0.5364  1 Os 1.87
F 0.7980 0.3034 0.4503  2 Os 2.02-2.20
F 0.7980 0.6966 0.9503  2 Os 2.02-2.20
F 0.8595 0.2076 0.8585  2 Os 2.02-2.19
F 0.8595 0.7924 0.3585  2 Os 2.02-2.19
F 0.9495 0.3700 0.2742  1 Os 1.89
F 0.9495 0.6300 0.7742  1 Os 1.89

## Properties
- space-group type = No. 7



[5]
DFT (GGA-PBEsol) results for an optimized crystal structure of POsO2F.

abc: 3.2695 3.2695 6.5498
angles: 90.00 90.00 90.00
Closest atoms and distances in Å follow each position.
Positions (direct):
P 0.0000 0.0000 0.0000  4 O 1.63
Os 0.5000 0.5000 0.5000  4 F 2.31
O 0.0000 0.5000 0.0000  2 P 1.63
O 0.5000 0.0000 0.0000  2 P 1.63
F 0.0000 0.0000 0.5000  4 Os 2.31

## Properties
- D(E_F) (states/eV/atom) = 0.813
- space-group type = No. 123



[6]
DFT (GGA-PBEsol) results for an optimized crystal structure of POsO2F.

abc: 3.6761 3.6761 4.8488
angles: 90.00 90.00 90.00
Closest atoms and distances in Å follow each position.
Positions (direct):
P 0.0000 0.0000 0.0000  2 Os 2.42, 4 F 2.60
Os 0.0000 0.0000 0.5000  4 O 1.84
O 0.0000 0.5000 0.5000  2 Os 1.84
O 0.5000 0.0000 0.5000  2 Os 1.84
F 0.5000 0.5000 0.0000  4 P 2.60

## Properties
- D(E_F) (states/eV/atom) = 0.331
- space-group type = No. 123



It is found that the uncorrected formation energy values, taken in the order of the records, are -3.262; -2.691; -1.163; -1.335; 0.338; -0.594 eV per atom.